Below is an optimized crystal structure of YBe2IrO8, with properties calculated at the GGA-PBE level.

Values from the calculation:
Density of states at the Fermi level, states/eV/cell: 4.986
Formation energy without anion corrections, meV per atom: -1429.6
Total DFT energy (no corrections), Ry per atom: -0.488

a b c (Å): 5.1586 5.1586 6.2035
angles (deg): 90.00 90.00 120.00
Last column: nearest neighbours and their distance in Å.
Positions (direct):
Y: 0.0000 0.0000 0.0000  6 O 2.41
Be: 0.3333 0.6667 0.2314  4 O 1.59-1.61
Be: 0.6667 0.3333 0.7686  4 O 1.59-1.61
Ir: 0.0000 0.0000 0.5000  6 O 1.89
O: 0.1642 0.3283 0.3086  1 Be 1.59
O: 0.1642 0.8358 0.3086  1 Be 1.59
O: 0.3283 0.1642 0.6914  1 Be 1.59
O: 0.3333 0.6667 0.9712  1 Be 1.61
O: 0.6667 0.3333 0.0288  1 Be 1.61
O: 0.6717 0.8358 0.3086  1 Be 1.59
O: 0.8358 0.1642 0.6914  1 Be 1.59
O: 0.8358 0.6717 0.6914  1 Be 1.59